{"formula": "GaSi2C", "functional": "GGA-PBEsol", "state": "optimized geometry", "e_above_lowest_polymorph_mev_per_atom": 0, "sg": "No. 122", "lattice": [[-2.522, 2.522, 4.732], [2.522, -2.522, 4.732], [2.522, 2.522, -4.732]], "species": ["Ga", "Ga", "Si", "Si", "Si", "Si", "C", "C"], "fractional_positions": [[0.000, 0.000, 0.000], [0.750, 0.250, 0.500], [0.205, 0.625, 0.080], [0.375, 0.455, 0.580], [0.545, 0.125, 0.920], [0.875, 0.795, 0.420], [0.250, 0.750, 0.500], [0.500, 0.500, 0.000]]}